Entry 1:
# CeEuNi2 PBE optimized geometry
data_CeEuNi2
_chemical_formula_sum 'Ce3 Eu3 Ni6'
_symmetry_space_group_name_H-M 'R -3 m'
_symmetry_Int_Tables_number 166
_symmetry_space_group_name_Hall '-R 3 2"'
_cell_length_a 3.9139
_cell_length_b 3.9139
_cell_length_c 20.6302
_cell_angle_alpha 90.00
_cell_angle_beta 90.00
_cell_angle_gamma 120.00
loop_
_atom_site_label
_atom_site_fract_x
_atom_site_fract_y
_atom_site_fract_z
Ce1 0.0000 0.0000 0.0000
Eu1 0.0000 0.0000 0.5000
Ni1 0.0000 0.0000 0.2600
# ΔE_f = -0.107 eV/atom
# Offset from the most stable computed form = 11.01 kJ per mole of atoms
# Crystal system = trigonal

Entry 2:
# CeEuNi2 PBE optimized geometry
data_CeEuNi2
_chemical_formula_sum 'Ce1 Eu1 Ni2'
_symmetry_space_group_name_H-M 'P 4/m m m'
_symmetry_Int_Tables_number 123
_symmetry_space_group_name_Hall '-P 4 2'
_cell_length_a 3.464
_cell_length_b 3.464
_cell_length_c 6.963
_cell_angle_alpha 90.00
_cell_angle_beta 90.00
_cell_angle_gamma 90.00
loop_
_atom_site_label
_atom_site_fract_x
_atom_site_fract_y
_atom_site_fract_z
Ce1 0.000 0.000 0.000
Eu1 0.000 0.000 0.500
Ni1 0.500 0.500 0.199
# ΔE_f = -0.221 eV/atom
# Offset from the most stable computed form = 0.00 kJ per mole of atoms
# Crystal system = tetragonal

Entry 3:
# CeEuNi4 PBE optimized geometry
data_CeEuNi4
_chemical_formula_sum 'Ce4 Eu4 Ni16'
_symmetry_space_group_name_H-M 'F -4 3 m'
_symmetry_Int_Tables_number 216
_symmetry_space_group_name_Hall 'F -4 2 3'
_cell_length_a 7.229
_cell_length_b 7.229
_cell_length_c 7.229
_cell_angle_alpha 90.00
_cell_angle_beta 90.00
_cell_angle_gamma 90.00
loop_
_atom_site_label
_atom_site_fract_x
_atom_site_fract_y
_atom_site_fract_z
Ce1 0.000 0.000 0.000
Eu1 0.250 0.250 0.750
Ni1 0.125 0.125 0.375
# ΔE_f = -0.297 eV/atom
# Crystal system = cubic

Entry 4:
# CeEuNi PBE optimized geometry
data_CeEuNi
_chemical_formula_sum 'Ce2 Eu2 Ni2'
_symmetry_space_group_name_H-M 'I 4 m m'
_symmetry_Int_Tables_number 107
_symmetry_space_group_name_Hall 'I 4 -2'
_cell_length_a 3.516
_cell_length_b 3.516
_cell_length_c 12.553
_cell_angle_alpha 90.00
_cell_angle_beta 90.00
_cell_angle_gamma 90.00
loop_
_atom_site_label
_atom_site_fract_x
_atom_site_fract_y
_atom_site_fract_z
Ce1 0.000 0.000 0.000
Eu1 0.000 0.000 0.737
Ni1 0.000 0.000 0.394
# ΔE_f = -0.080 eV/atom
# Offset from the most stable computed form = 0.00 kJ per mole of atoms
# Crystal system = tetragonal

Entry 5:
# CeEu2Ni PBE optimized geometry
data_CeEu2Ni
_chemical_formula_sum 'Ce3 Eu6 Ni3'
_symmetry_space_group_name_H-M 'R -3 m'
_symmetry_Int_Tables_number 166
_symmetry_space_group_name_Hall '-R 3 2"'
_cell_length_a 3.6669
_cell_length_b 3.6669
_cell_length_c 31.7337
_cell_angle_alpha 90.00
_cell_angle_beta 90.00
_cell_angle_gamma 120.00
loop_
_atom_site_label
_atom_site_fract_x
_atom_site_fract_y
_atom_site_fract_z
Ce1 0.0000 0.0000 0.0000
Eu1 0.0000 0.0000 0.1092
Ni1 0.0000 0.0000 0.5000
# ΔE_f = 0.254 eV/atom
# Crystal system = trigonal

no.,Fermi-level density of states (states/eV per cell)
1,31.32
2,8.16
3,24.11
4,10.66
5,49.45